VASP calculation (PBE+U) on a relaxed ZrInFeF2 crystal.

```
data_ZrInFeF2
_chemical_formula_sum 'Zr1 In1 Fe1 F2'
_cell_length_a 4.217
_cell_length_b 4.217
_cell_length_c 5.707
_cell_angle_alpha 90.00
_cell_angle_beta 90.00
_cell_angle_gamma 90.00
_symmetry_space_group_name_H-M 'P 4/m m m'
_symmetry_Int_Tables_number 123
_symmetry_space_group_name_Hall '-P 4 2'
loop_
_atom_site_label
_atom_site_type_symbol
_atom_site_fract_x
_atom_site_fract_y
_atom_site_fract_z
Zr1 Zr 0.000 0.000 0.000
In1 In 0.500 0.500 0.500
Fe1 Fe 0.500 0.500 0.000
F1 F 0.000 0.500 0.500
```

Output
- volume (Å³/cell) = 102
- spin magnetization (μB per atom) = 0.39
- calculated density (g/cm3) = 4.91
- raw total energy (eV/atom) = -4.57